DFT (PBE-GGA) results for a geometry-optimized Ba3Tl2Pd4 structure.

## Properties
Uncorrected energy, eV/cell: -35.63
E above lowest polymorph, eV/f.u.: 0.09

a b c (Å): 4.699 6.637 9.437
angles (deg): 109.59 90.00 110.73
Atoms (fractional coordinates):
Ba 0.630 0.260 0.702
Ba 0.000 0.000 0.000
Ba 0.370 0.740 0.298
Tl 0.669 0.338 0.335
Tl 0.331 0.662 0.665
Pd 0.720 0.441 0.065
Pd 0.280 0.559 0.935
Pd 0.913 0.826 0.566
Pd 0.087 0.174 0.434


DFT (PBE-GGA) results for a geometry-optimized PrDy3Y8 structure.

## Properties
Uncorrected energy, eV/cell: -66.24

a b c (Å): 8.687 8.687 8.687
angles (deg): 97.15 136.21 98.84
Atoms (fractional coordinates):
Pr 0.000 0.000 0.000
Dy 0.500 0.743 0.243
Dy 0.500 0.257 0.757
Dy 0.000 0.500 0.500
Y 0.504 0.257 0.246
Y 0.496 0.743 0.754
Y 0.989 0.743 0.246
Y 0.011 0.257 0.754
Y 0.168 0.419 0.251
Y 0.832 0.082 0.251
Y 0.832 0.581 0.749
Y 0.168 0.918 0.749


DFT (PBE-GGA) results for a geometry-optimized NaTeN2O structure.

## Properties
Raw formation energy, eV per atom: 2.266
Uncorrected energy, eV/cell: -14.74

a b c (Å): 4.163 4.163 6.341
angles (deg): 90.00 90.00 90.00
Atoms (fractional coordinates):
Na 0.000 0.000 0.000
Te 0.000 0.000 0.500
O 0.500 0.500 0.500
N 0.000 0.500 0.000
N 0.500 0.000 0.000


DFT (PBE-GGA) results for a geometry-optimized TbPaRh4 structure.

## Properties
Uncorrected energy, eV/cell: -94.72
E above lowest polymorph, eV/f.u.: 0.27

a b c (Å): 5.231 6.282 7.493
angles (deg): 85.60 111.30 87.93
Atoms (fractional coordinates):
Tb 0.864 0.755 0.996
Tb 0.136 0.245 0.004
Pa 0.500 0.000 0.500
Pa 0.000 0.500 0.500
Rh 0.522 0.137 0.821
Rh 0.706 0.386 0.174
Rh 0.478 0.863 0.179
Rh 0.294 0.614 0.826
Rh 0.995 0.988 0.685
Rh 0.303 0.511 0.315
Rh 0.005 0.012 0.315
Rh 0.697 0.489 0.685